This record from Alexandria describes a geometry-optimized TeSe2F structure. The functional is PBE.

The structure belongs to space group Fm-3m (No. 225); the cell edges are 6.775, 6.775 and 6.775 Å and the angles 90.00°, 90.00° and 90.00°. The distinct sites, in fractional coordinates, are Te at (0.000, 0.000, 0.000), Se at (0.250, 0.250, 0.250) and F at (0.000, 0.000, 0.500).

For the raw formation energy, the calculation gives -0.127 eV/atom. The density of states at the Fermi level comes out at 14.68 states/eV/cell. As for the final energy: -0.2295 Ry per atom. For the polymorph energy (0 for the lowest one), the calculation gives 212 meV/atom.